[1]
Compound: NpIn2GaBr6
Source: Alexandria
Functional: PBE
Structure: relaxed

POSCAR file:
```
NpIn2GaBr6
1.0
4.029 2.326 6.927
-4.029 2.326 6.927
0.000 -4.652 6.927
Np In Ga Br
1 2 1 6
direct
0.000 0.000 0.000 Np
0.301 0.301 0.301 In
0.796 0.796 0.796 In
0.506 0.506 0.506 Ga
0.140 0.338 0.745 Br
0.209 0.873 0.651 Br
0.338 0.745 0.140 Br
0.651 0.209 0.873 Br
0.745 0.140 0.338 Br
0.873 0.651 0.209 Br
```

Summary:
As for the crystal system: trigonal. The density of states at the Fermi level is 4.96 states/eV/f.u. Its space-group type is No. 146.

---

[2]
Compound: InGaOsBr2
Source: Alexandria
Functional: PBE
Structure: relaxed

POSCAR file:
```
InGaOsBr2
1.0
5.600 0.000 0.000
0.000 5.600 0.000
0.000 0.000 5.406
In Ga Os Br
1 1 1 2
direct
0.000 0.000 0.000 In
0.000 0.000 0.500 Ga
0.500 0.500 0.500 Os
0.000 0.500 0.000 Br
0.500 0.000 0.000 Br
```

Summary:
As for the crystal system: tetragonal. The density of states at the Fermi level is 0.88 states/eV/f.u. Its space-group type is No. 123.

---

[3]
Compound: PaIn2GaBr8
Source: Alexandria
Functional: PBE
Structure: relaxed

POSCAR file:
```
PaIn2GaBr8
1.0
7.191 0.000 0.000
0.000 9.199 0.000
-0.290 0.000 7.554
Pa In Ga Br
1 2 1 8
direct
0.000 0.000 0.000 Pa
0.500 0.269 0.500 In
0.500 0.731 0.500 In
0.000 0.500 0.000 Ga
0.198 0.000 0.312 Br
0.224 0.216 0.875 Br
0.224 0.784 0.875 Br
0.272 0.500 0.322 Br
0.728 0.500 0.678 Br
0.776 0.216 0.125 Br
0.776 0.784 0.125 Br
0.802 0.000 0.688 Br
```

Summary:
As for the crystal system: monoclinic. Its space-group type is No. 10.

---

[4]
Compound: InGa2PbBr8
Source: Alexandria
Functional: PBE
Structure: relaxed

POSCAR file:
```
InGa2PbBr8
1.0
7.135 0.000 0.000
-3.568 6.179 0.000
0.000 0.000 10.283
In Ga Pb Br
1 2 1 8
direct
0.000 0.000 0.000 In
0.333 0.667 0.775 Ga
0.667 0.333 0.225 Ga
0.000 0.000 0.500 Pb
0.014 0.333 0.696 Br
0.319 0.986 0.696 Br
0.333 0.319 0.304 Br
0.333 0.667 0.007 Br
0.667 0.333 0.993 Br
0.667 0.681 0.696 Br
0.681 0.014 0.304 Br
0.986 0.667 0.304 Br
```

Summary:
As for the crystal system: trigonal. The density of states at the Fermi level is 6.37 states/eV/f.u. Its space-group type is No. 147.

---

[5]
Compound: In2GaPbBr5
Source: Alexandria
Functional: PBE
Structure: relaxed

POSCAR file:
```
In2GaPbBr5
1.0
2.234 -9.529 0.000
2.234 9.529 0.000
0.000 0.000 16.215
In Ga Pb Br
4 2 2 10
direct
0.074 0.926 0.500 In
0.136 0.864 0.102 In
0.864 0.136 0.602 In
0.926 0.074 0.000 In
0.454 0.546 0.289 Ga
0.546 0.454 0.789 Ga
0.240 0.760 0.867 Pb
0.760 0.240 0.367 Pb
0.081 0.919 0.909 Br
0.253 0.747 0.501 Br
0.285 0.715 0.244 Br
0.398 0.602 0.853 Br
0.483 0.517 0.610 Br
0.517 0.483 0.110 Br
0.602 0.398 0.353 Br
0.715 0.285 0.744 Br
0.747 0.253 0.001 Br
0.919 0.081 0.409 Br
```

Summary:
As for the crystal system: orthorhombic. The density of states at the Fermi level is 0.00 states/eV/f.u. Its space-group type is No. 36.

---

[6]
Compound: In2GaPdBr
Source: Alexandria
Functional: PBE
Structure: relaxed

POSCAR file:
```
In2GaPdBr
1.0
5.280 0.000 0.000
0.000 5.280 0.000
0.000 0.000 4.866
In Ga Pd Br
2 1 1 1
direct
0.000 0.500 0.000 In
0.500 0.000 0.000 In
0.000 0.000 0.500 Ga
0.000 0.000 0.000 Pd
0.500 0.500 0.500 Br
```

Summary:
As for the crystal system: tetragonal. The density of states at the Fermi level is 0.87 states/eV/f.u. Its space-group type is No. 123.

---

[7]
Compound: PmInGa2Br6
Source: Alexandria
Functional: PBE
Structure: relaxed

POSCAR file:
```
PmInGa2Br6
1.0
3.934 2.271 7.042
-3.934 2.271 7.042
0.000 -4.543 7.042
Pm In Ga Br
1 1 2 6
direct
0.000 0.000 0.000 Pm
0.510 0.510 0.510 In
0.314 0.314 0.314 Ga
0.808 0.808 0.808 Ga
0.096 0.368 0.744 Br
0.185 0.929 0.617 Br
0.368 0.744 0.096 Br
0.617 0.185 0.929 Br
0.744 0.096 0.368 Br
0.929 0.617 0.185 Br
```

Summary:
As for the crystal system: trigonal. The density of states at the Fermi level is 0.00 states/eV/f.u. Its space-group type is No. 146.

---

[8]
Compound: PrIn2GaBr6
Source: Alexandria
Functional: PBE
Structure: relaxed

POSCAR file:
```
PrIn2GaBr6
1.0
4.046 2.336 6.930
-4.046 2.336 6.930
0.000 -4.671 6.930
Pr In Ga Br
1 2 1 6
direct
0.000 0.000 0.000 Pr
0.300 0.300 0.300 In
0.795 0.795 0.795 In
0.507 0.507 0.507 Ga
0.137 0.343 0.738 Br
0.209 0.873 0.647 Br
0.343 0.738 0.137 Br
0.647 0.209 0.873 Br
0.738 0.137 0.343 Br
0.873 0.647 0.209 Br
```

Summary:
As for the crystal system: trigonal. The density of states at the Fermi level is 0.00 states/eV/f.u. Its space-group type is No. 146.

---

[9]
Compound: InGaPt2Br
Source: Alexandria
Functional: PBE
Structure: relaxed

POSCAR file:
```
InGaPt2Br
1.0
5.047 0.000 0.000
0.000 5.047 0.000
0.000 0.000 5.718
In Ga Pt Br
1 1 2 1
direct
0.000 0.000 0.000 In
0.500 0.500 0.500 Ga
0.000 0.500 0.000 Pt
0.500 0.000 0.000 Pt
0.000 0.000 0.500 Br
```

Summary:
As for the crystal system: tetragonal. The density of states at the Fermi level is 2.91 states/eV/f.u. Its space-group type is No. 123.

---

[10]
Compound: RbInGa2Br4
Source: Alexandria
Functional: PBE
Structure: relaxed

POSCAR file:
```
RbInGa2Br4
1.0
8.043 0.000 0.000
0.000 4.652 0.000
-2.681 0.000 7.624
Rb In Ga Br
1 1 2 4
direct
0.000 0.000 0.000 Rb
0.500 0.500 0.000 In
0.000 0.500 0.500 Ga
0.500 0.000 0.500 Ga
0.248 0.000 0.732 Br
0.261 0.500 0.272 Br
0.739 0.500 0.728 Br
0.752 0.000 0.268 Br
```

Summary:
As for the crystal system: monoclinic. The density of states at the Fermi level is 0.00 states/eV/f.u. Its space-group type is No. 10.

---

[11]
Compound: RbInGa2Br8
Source: Alexandria
Functional: PBE
Structure: relaxed

POSCAR file:
```
RbInGa2Br8
1.0
7.060 0.000 0.000
-3.530 6.114 0.000
0.000 0.000 11.096
Rb In Ga Br
1 1 2 8
direct
0.000 0.000 0.000 Rb
0.000 0.000 0.500 In
0.333 0.667 0.776 Ga
0.667 0.333 0.224 Ga
0.015 0.347 0.709 Br
0.333 0.667 0.989 Br
0.333 0.985 0.709 Br
0.347 0.333 0.291 Br
0.653 0.667 0.709 Br
0.667 0.015 0.291 Br
0.667 0.333 0.011 Br
0.985 0.653 0.291 Br
```

Summary:
As for the crystal system: trigonal. The density of states at the Fermi level is 0.00 states/eV/f.u. Its space-group type is No. 147.

---

[12]
Compound: Rb2InGaBr4
Source: Alexandria
Functional: PBE
Structure: relaxed

POSCAR file:
```
Rb2InGaBr4
1.0
8.252 0.000 0.000
0.000 4.802 0.000
-2.790 0.000 7.832
Rb In Ga Br
2 1 1 4
direct
0.000 0.000 0.000 Rb
0.000 0.500 0.500 Rb
0.500 0.000 0.500 In
0.500 0.500 0.000 Ga
0.265 0.500 0.248 Br
0.270 0.000 0.764 Br
0.730 0.000 0.236 Br
0.735 0.500 0.752 Br
```

Summary:
As for the crystal system: monoclinic. The density of states at the Fermi level is 0.00 states/eV/f.u. Its space-group type is No. 10.

---

no.,final energy (eV per formula unit),formation energy from raw total energies (meV/atom)
1,-40.470,-899
2,-14.294,1209
3,-43.627,-1020
4,-34.209,-694
5,-26.849,-697
6,-17.501,-426
7,-34.548,-1097
8,-34.526,-1121
9,-16.536,597
10,-23.271,-852
11,-35.109,-997
12,-23.619,-1153